[1]
First-principles (PBE) data for Cd2NiBiB after structural relaxation, as listed in Alexandria via LeMat-Bulk. Values from VASP.

Computed properties:
formation enthalpy at 0 K = 1009 meV/atom
V = 24.1 A^3/atom

```
&SYSTEM
  ibrav = 0, nat = 5, ntyp = 4
/
ATOMIC_SPECIES
Cd 112.41 Cd.upf
B 10.81 B.upf
Ni 58.69 Ni.upf
Bi 208.98 Bi.upf
ATOMIC_POSITIONS crystal
Cd 0.5000 0.0000 0.0000
Cd 0.0000 0.0000 0.5000
B 0.5000 0.5000 0.5000
Ni 0.0000 0.0000 0.0000
Bi 0.0000 0.5000 0.0000
CELL_PARAMETERS angstrom
4.9568 0.0000 0.0000
0.0000 4.9017 0.0000
0.0000 0.0000 4.9568
```

---

[2]
First-principles (PBE) data for RbNaTl6 after structural relaxation, as listed in Alexandria via LeMat-Bulk. Values from VASP.

Computed properties:
formation enthalpy at 0 K = -39 meV/atom
V = 33.1 A^3/atom

```
&SYSTEM
  ibrav = 0, nat = 8, ntyp = 3
/
ATOMIC_SPECIES
Na 22.99 Na.upf
Tl 204.38 Tl.upf
Rb 85.47 Rb.upf
ATOMIC_POSITIONS crystal
Na 0.0000 0.1105 0.8895
Tl 0.0000 0.0619 0.3560
Tl 0.5000 0.9156 0.0844
Tl 0.0000 0.6440 0.9381
Tl 0.5000 0.8643 0.5685
Tl 0.5000 0.4315 0.1357
Tl 0.0000 0.5972 0.4028
Rb 0.5000 0.3747 0.6253
CELL_PARAMETERS angstrom
-3.0529 -4.3509 -0.3149
3.4558 -2.8374 5.7004
-5.6837 3.8165 2.3703
```